No. 1
Ho3Mg | PBE | optimized geometry

Cell lengths 4.932, 4.932, 5.901 Å; angles 114.70, 114.70, 90.00 degrees
Fractional coordinates of all 4 atoms:
Mg 0.000 0.000 0.000
Ho 0.750 0.250 0.500
Ho 0.250 0.750 0.500
Ho 0.500 0.500 0.000

Results
ρ = 7.44 g/cm3
E = -3.80 eV per atom
Volume = 28.9 Å³/atom
Energy relative to the lowest polymorph listed for this composition = 48 meV/atom
Calculated formation energy = 0.033 eV/atom
Symmetry = I4/mmm, No. 139
Magnetization = 0.000 Bohr magnetons per cell

No. 2
HoMg11 | PBE | optimized geometry

Cell lengths 7.872, 9.428, 9.428 Å; angles 79.96, 65.32, 65.32 degrees
Fractional coordinates of all 24 atoms:
Ho 0.500 0.000 0.000
Ho 0.250 0.500 0.500
Mg 0.428 0.826 0.417
Mg 0.671 0.174 0.583
Mg 0.000 0.000 0.000
Mg 0.750 0.500 0.500
Mg 0.375 0.750 0.750
Mg 0.875 0.750 0.250
Mg 0.875 0.250 0.750
Mg 0.875 0.250 0.250
Mg 0.428 0.417 0.826
Mg 0.004 0.674 0.917
Mg 0.595 0.326 0.083
Mg 0.671 0.583 0.174
Mg 0.746 0.583 0.826
Mg 0.155 0.417 0.174
Mg 0.079 0.326 0.917
Mg 0.322 0.674 0.083
Mg 0.322 0.083 0.674
Mg 0.746 0.826 0.583
Mg 0.155 0.174 0.417
Mg 0.079 0.917 0.326
Mg 0.004 0.917 0.674
Mg 0.595 0.083 0.326

Results
ρ = 2.49 g/cm3
E = -1.80 eV per atom
Volume = 24.1 Å³/atom
Calculated formation energy = 0.042 eV/atom
Symmetry = I4_1/amd, No. 141
Magnetization = 0.000 Bohr magnetons per cell

No. 3
Ho4Mg | PBE | optimized geometry

Cell lengths 3.529, 3.529, 12.110 Å; angles 98.38, 98.38, 90.00 degrees
Fractional coordinates of all 5 atoms:
Ho 0.594 0.594 0.188
Ho 0.197 0.197 0.394
Ho 0.803 0.803 0.606
Ho 0.406 0.406 0.812
Mg 0.000 0.000 0.000

Results
ρ = 7.69 g/cm3
E = -4.00 eV per atom
Volume = 29.5 Å³/atom
Energy relative to the lowest polymorph listed for this composition = 0 meV/atom
Calculated formation energy = -0.014 eV/atom
Symmetry = I4/mmm, No. 139
Magnetization = 0.002 Bohr magnetons per cell

No. 4
Ho4Mg | PBE | optimized geometry

Cell lengths 5.563, 5.563, 5.563 Å; angles 90.00, 90.00, 90.00 degrees
Fractional coordinates of all 5 atoms:
Mg 0.500 0.500 0.500
Ho 0.000 0.000 0.000
Ho 0.500 0.000 0.500
Ho 0.000 0.500 0.500
Ho 0.500 0.500 0.000

Results
ρ = 6.60 g/cm3
E = -3.37 eV per atom
Volume = 34.4 Å³/atom
Energy relative to the lowest polymorph listed for this composition = 626 meV/atom
Calculated formation energy = 0.612 eV/atom
Symmetry = Pm-3m, No. 221
Magnetization = 0.000 Bohr magnetons per cell

No. 5
Ho8Mg | PBE | optimized geometry

Cell lengths 3.724, 8.756, 8.756 Å; angles 87.41, 77.72, 77.72 degrees
Fractional coordinates of all 9 atoms:
Ho 0.660 0.000 0.680
Ho 0.340 0.000 0.320
Ho 0.336 0.664 0.664
Ho 0.660 0.680 0.000
Ho 0.000 0.664 0.336
Ho 0.340 0.320 0.000
Ho 0.664 0.336 0.336
Ho 0.000 0.336 0.664
Mg 0.000 0.000 0.000

Results
ρ = 8.19 g/cm3
E = -4.17 eV per atom
Volume = 30.3 Å³/atom
Calculated formation energy = 0.078 eV/atom
Symmetry = I4/mmm, No. 139
Magnetization = 0.001 Bohr magnetons per cell

No. 6
Ho2Mg3 | PBE | optimized geometry

Cell lengths 3.740, 3.740, 18.673 Å; angles 90.00, 90.00, 90.00 degrees
Fractional coordinates of all 10 atoms:
Ho 0.500 0.500 0.198
Ho 0.500 0.500 0.398
Ho 0.500 0.500 0.602
Ho 0.500 0.500 0.802
Mg 0.000 0.000 0.910
Mg 0.000 0.000 0.090
Mg 0.000 0.000 0.298
Mg 0.000 0.000 0.500
Mg 0.000 0.000 0.702
Mg 0.500 0.500 0.000

Results
ρ = 5.12 g/cm3
E = -2.85 eV per atom
Volume = 26.1 Å³/atom
Energy relative to the lowest polymorph listed for this composition = 0 meV/atom
Calculated formation energy = -0.062 eV/atom
Symmetry = P4/mmm, No. 123
Magnetization = 0.000 Bohr magnetons per cell

Number 2 is which compound?
HoMg11

Among the records above, which one has the highest ρ?
Ho8Mg